Run A
Y2SeO | GGA-PBE | optimized geometry

The calculation puts the density of states at the Fermi level at 5.780 states/eV per cell. The total magnetization is 0.00 μB/f.u. As for the calculated volume: 24.3 Å³/atom.

Cell lengths 6.9837, 6.9837, 6.9837 Å; angles 130.14, 130.14, 73.18 degrees
Fractional positions:
Y1 0.0519 0.6250 0.9269
Y2 0.3750 0.3019 0.4269
Y3 0.6981 0.1250 0.0731
Y4 0.8750 0.9481 0.5731
Se1 0.2500 0.7500 0.5000
Se2 0.5000 0.5000 0.0000
O1 0.0000 0.0000 0.0000
O2 0.7500 0.2500 0.5000

Run B
Y2SeO | GGA-PBE | optimized geometry

The calculation puts the density of states at the Fermi level at 0.552 states/eV per cell. The total magnetization is 0.00 μB/f.u. As for the calculated volume: 19.0 Å³/atom.

Cell lengths 6.7786, 6.7786, 6.7786 Å; angles 31.61, 31.61, 31.61 degrees
Fractional positions:
Y1 0.2319 0.2319 0.2319
Y2 0.7681 0.7681 0.7681
Se1 0.0000 0.0000 0.0000
O1 0.5000 0.5000 0.5000

Which structure is most stable? run B, by 0.147 eV/atom over the runner-up.

Run A
Y2SeO | GGA-PBE | optimized geometry

The calculation puts the density of states at the Fermi level at 2.838 states/eV per cell. The total magnetization is 0.79 μB/f.u. As for the calculated volume: 18.5 Å³/atom.

Cell lengths 4.7123, 4.7123, 4.7123 Å; angles 60.00, 60.00, 60.00 degrees
Fractional positions:
Y1 0.2500 0.2500 0.2500
Y2 0.7500 0.7500 0.7500
Se1 0.0000 0.0000 0.0000
O1 0.5000 0.5000 0.5000

Run B
Y2SeO | GGA-PBE | optimized geometry

The calculation puts the density of states at the Fermi level at 4.704 states/eV per cell. The total magnetization is 0.23 μB/f.u. As for the calculated volume: 22.1 Å³/atom.

Cell lengths 3.9046, 9.6619, 4.6919 Å; angles 90.00, 90.00, 90.00 degrees
Fractional positions:
Y1 0.0000 0.0843 0.0000
Y2 0.0000 0.6848 0.9723
Y3 0.5000 0.3152 0.4723
Y4 0.5000 0.9157 0.5000
Se1 0.0000 0.3791 0.9909
Se2 0.5000 0.6209 0.4909
O1 0.0000 0.8935 0.7398
O2 0.5000 0.1065 0.2398

Which structure is most stable? run B, by 0.607 eV/atom over the runner-up.

Run A
Y2Se3O12 | GGA-PBE | optimized geometry

The calculation puts the density of states at the Fermi level at 0.000 states/eV per cell. The total magnetization is 0.00 μB/f.u. As for the calculated volume: 18.8 Å³/atom.

Cell lengths 13.4408, 9.7191, 9.8003 Å; angles 90.00, 90.00, 90.00 degrees
Fractional positions:
Y1 0.1183 0.2493 0.0375
Y2 0.1183 0.7507 0.5375
Y3 0.3817 0.2507 0.5375
Y4 0.3817 0.7493 0.0375
Y5 0.6183 0.2507 0.9625
Y6 0.6183 0.7493 0.4625
Y7 0.8817 0.2493 0.4625
Y8 0.8817 0.7507 0.9625
Se1 0.0000 0.4659 0.7500
Se2 0.0000 0.5341 0.2500
Se3 0.1467 0.1055 0.3871
Se4 0.1467 0.8945 0.8871
Se5 0.3533 0.3945 0.8871
Se6 0.3533 0.6055 0.3871
Se7 0.5000 0.0341 0.2500
Se8 0.5000 0.9659 0.7500
Se9 0.6467 0.3945 0.6129
Se10 0.6467 0.6055 0.1129
Se11 0.8533 0.1055 0.1129
Se12 0.8533 0.8945 0.6129
O1 0.0331 0.1631 0.4214
O2 0.0331 0.8369 0.9214
O3 0.0644 0.3665 0.8552
O4 0.0644 0.6335 0.3552
O5 0.0804 0.4372 0.1641
O6 0.0804 0.5628 0.6641
O7 0.1502 0.0645 0.9043
O8 0.1502 0.9355 0.4043
O9 0.1775 0.1443 0.2274
O10 0.1775 0.8557 0.7274
O11 0.2255 0.1775 0.4965
O12 0.2255 0.8225 0.9965
O13 0.2745 0.3225 0.9965
O14 0.2745 0.6775 0.4965
O15 0.3225 0.3557 0.7274
O16 0.3225 0.6443 0.2274
O17 0.3498 0.4355 0.4043
O18 0.3498 0.5645 0.9043
O19 0.4196 0.0628 0.6641
O20 0.4196 0.9372 0.1641
O21 0.4356 0.1335 0.3552
O22 0.4356 0.8665 0.8552
O23 0.4669 0.3369 0.9214
O24 0.4669 0.6631 0.4214
O25 0.5331 0.3369 0.5786
O26 0.5331 0.6631 0.0786
O27 0.5644 0.1335 0.1448
O28 0.5644 0.8665 0.6448
O29 0.5804 0.0628 0.8359
O30 0.5804 0.9372 0.3359
O31 0.6502 0.4355 0.0957
O32 0.6502 0.5645 0.5957
O33 0.6775 0.3557 0.7726
O34 0.6775 0.6443 0.2726
O35 0.7255 0.3225 0.5035
O36 0.7255 0.6775 0.0035
O37 0.7745 0.1775 0.0035
O38 0.7745 0.8225 0.5035
O39 0.8225 0.1443 0.2726
O40 0.8225 0.8557 0.7726
O41 0.8498 0.0645 0.5957
O42 0.8498 0.9355 0.0957
O43 0.9196 0.4372 0.3359
O44 0.9196 0.5628 0.8359
O45 0.9356 0.3665 0.6448
O46 0.9356 0.6335 0.1448
O47 0.9669 0.1631 0.0786
O48 0.9669 0.8369 0.5786

Run B
Y2Se3O12 | GGA-PBE | optimized geometry

The calculation puts the density of states at the Fermi level at 0.000 states/eV per cell. The total magnetization is 0.00 μB/f.u. As for the calculated volume: 13.3 Å³/atom.

Cell lengths 6.8817, 6.8817, 11.3016 Å; angles 99.37, 99.37, 117.52 degrees
Fractional positions:
Y1 0.0518 0.3007 0.0931
Y2 0.3007 0.0518 0.5931
Y3 0.6993 0.9482 0.4069
Y4 0.9482 0.6993 0.9069
Se1 0.1351 0.8649 0.2500
Se2 0.2135 0.4496 0.4235
Se3 0.4496 0.2135 0.9235
Se4 0.5504 0.7865 0.0765
Se5 0.7865 0.5504 0.5765
Se6 0.8649 0.1351 0.7500
O1 0.0037 0.5828 0.2104
O2 0.0498 0.9385 0.1230
O3 0.0615 0.9502 0.3770
O4 0.0697 0.6848 0.6056
O5 0.2607 0.6548 0.0429
O6 0.2634 0.3705 0.2888
O7 0.3117 0.3779 0.5430
O8 0.3152 0.9303 0.8944
O9 0.3452 0.7393 0.4571
O10 0.3705 0.2634 0.7888
O11 0.3779 0.3117 0.0430
O12 0.4172 0.9963 0.2896
O13 0.5828 0.0037 0.7104
O14 0.6221 0.6883 0.9570
O15 0.6295 0.7366 0.2112
O16 0.6548 0.2607 0.5429
O17 0.6848 0.0697 0.1056
O18 0.6883 0.6221 0.4570
O19 0.7366 0.6295 0.7112
O20 0.7393 0.3452 0.9571
O21 0.9303 0.3152 0.3944
O22 0.9385 0.0498 0.6230
O23 0.9502 0.0615 0.8770
O24 0.9963 0.4172 0.7896

Which structure is most stable? run A, by 0.078 eV/atom over the runner-up.

Run A
Zn2Se2O | GGA-PBE | optimized geometry

The calculation puts the density of states at the Fermi level at 2.896 states/eV per cell. The total magnetization is 0.00 μB/f.u. As for the calculated volume: 17.4 Å³/atom.

Cell lengths 5.7291, 5.7291, 5.3128 Å; angles 90.00, 90.00, 90.00 degrees
Fractional positions:
Zn1 0.1948 0.3052 0.0000
Zn2 0.3052 0.8052 0.0000
Zn3 0.6948 0.1948 0.0000
Zn4 0.8052 0.6948 0.0000
Se1 0.1505 0.3495 0.5000
Se2 0.3495 0.8495 0.5000
Se3 0.6505 0.1505 0.5000
Se4 0.8495 0.6505 0.5000
O1 0.0000 0.0000 0.0000
O2 0.5000 0.5000 0.0000

Run B
Zn2Se2O | GGA-PBE | optimized geometry

The calculation puts the density of states at the Fermi level at 2.141 states/eV per cell. The total magnetization is 0.00 μB/f.u. As for the calculated volume: 18.8 Å³/atom.

Cell lengths 7.2326, 7.2326, 7.2326 Å; angles 150.10, 150.10, 42.80 degrees
Fractional positions:
Zn1 0.0865 0.0865 0.0000
Zn2 0.9135 0.9135 0.0000
Se1 0.2500 0.7500 0.5000
Se2 0.7500 0.2500 0.5000
O1 0.5000 0.5000 0.0000

Which structure is most stable? run A, by 0.631 eV/atom over the runner-up.

Run A
ZnSeO2 | GGA-PBE | optimized geometry

The calculation puts the density of states at the Fermi level at 1.586 states/eV per cell. The total magnetization is 0.00 μB/f.u. As for the calculated volume: 13.2 Å³/atom.

Cell lengths 5.2244, 5.2244, 5.2244 Å; angles 116.31, 116.31, 96.52 degrees
Fractional positions:
Zn1 0.0000 0.0000 0.0000
Zn2 0.7500 0.2500 0.5000
Se1 0.2500 0.7500 0.5000
Se2 0.5000 0.5000 0.0000
O1 0.0909 0.6250 0.9659
O2 0.3750 0.3409 0.4659
O3 0.6591 0.1250 0.0341
O4 0.8750 0.9091 0.5341

Run B
ZnSeO2 | GGA-PBE | optimized geometry

The calculation puts the density of states at the Fermi level at 0.808 states/eV per cell. The total magnetization is 0.00 μB/f.u. As for the calculated volume: 16.2 Å³/atom.

Cell lengths 5.5846, 5.5846, 5.5846 Å; angles 39.99, 39.99, 39.99 degrees
Fractional positions:
Zn1 0.0000 0.0000 0.0000
Se1 0.5000 0.5000 0.5000
O1 0.1181 0.1181 0.1181
O2 0.8819 0.8819 0.8819

Which structure is most stable? run A, by 0.167 eV/atom over the runner-up.

Run A
ZnSeO2 | GGA-PBE | optimized geometry

The calculation puts the density of states at the Fermi level at 0.807 states/eV per cell. The total magnetization is 0.00 μB/f.u. As for the calculated volume: 12.3 Å³/atom.

Cell lengths 6.3183, 6.3183, 6.3183 Å; angles 28.08, 28.08, 28.08 degrees
Fractional positions:
Zn1 0.0000 0.0000 0.0000
Se1 0.5000 0.5000 0.5000
O1 0.3950 0.3950 0.3950
O2 0.6050 0.6050 0.6050

Run B
ZnSeO2 | GGA-PBE | optimized geometry

The calculation puts the density of states at the Fermi level at 2.223 states/eV per cell. The total magnetization is 0.00 μB/f.u. As for the calculated volume: 11.5 Å³/atom.

Cell lengths 4.0242, 4.0242, 4.0242 Å; angles 60.00, 60.00, 60.00 degrees
Fractional positions:
Zn1 0.0000 0.0000 0.0000
Se1 0.5000 0.5000 0.5000
O1 0.2500 0.2500 0.2500
O2 0.7500 0.7500 0.7500

Which structure is most stable? run A, by 1.017 eV/atom over the runner-up.

Run A
Zr2Se2O | GGA-PBE | optimized geometry

The calculation puts the density of states at the Fermi level at 0.521 states/eV per cell. The total magnetization is 0.00 μB/f.u. As for the calculated volume: 22.4 Å³/atom.

Cell lengths 6.7431, 6.7431, 6.7431 Å; angles 142.65, 142.65, 53.85 degrees
Fractional positions:
Zr1 0.1210 0.1210 0.0000
Zr2 0.8790 0.8790 0.0000
Se1 0.2500 0.7500 0.5000
Se2 0.7500 0.2500 0.5000
O1 0.5000 0.5000 0.0000

Run B
Zr2Se2O | GGA-PBE | optimized geometry

The calculation puts the density of states at the Fermi level at 1.302 states/eV per cell. The total magnetization is 0.00 μB/f.u. As for the calculated volume: 17.8 Å³/atom.

Cell lengths 6.5079, 6.5079, 4.1980 Å; angles 90.00, 90.00, 90.00 degrees
Fractional positions:
Zr1 0.1685 0.3315 0.0000
Zr2 0.3315 0.8315 0.0000
Zr3 0.6685 0.1685 0.0000
Zr4 0.8315 0.6685 0.0000
Se1 0.1555 0.6555 0.5000
Se2 0.3445 0.1555 0.5000
Se3 0.6555 0.8445 0.5000
Se4 0.8445 0.3445 0.5000
O1 0.0000 0.0000 0.0000
O2 0.5000 0.5000 0.0000

Which structure is most stable? run B, by 1.012 eV/atom over the runner-up.

Run A
SiO4 | GGA-PBE | optimized geometry

The calculation puts the density of states at the Fermi level at 1.754 states/eV per cell. The total magnetization is 4.01 μB/f.u. As for the calculated volume: 8.9 Å³/atom.

Cell lengths 3.5371, 3.5371, 3.5371 Å; angles 90.00, 90.00, 90.00 degrees
Fractional positions:
Si1 0.0000 0.0000 0.0000
O1 0.0000 0.0000 0.5000
O2 0.0000 0.5000 0.0000
O3 0.5000 0.0000 0.0000
O4 0.5000 0.5000 0.5000

Run B
SiO4 | GGA-PBE | optimized geometry

The total magnetization is 0.67 μB/f.u. As for the calculated volume: 14.1 Å³/atom.

Cell lengths 5.2441, 5.3608, 8.7614 Å; angles 94.33, 98.15, 118.76 degrees
Fractional positions:
Si1 0.0000 0.0000 0.0000
Si2 0.2817 0.9142 0.4517
Si3 0.6546 0.6095 0.5644
O1 0.0147 0.9670 0.1908
O2 0.2015 0.8488 0.2544
O3 0.2804 0.2811 0.9621
O4 0.4547 0.7339 0.4778
O5 0.4624 0.8676 0.0096
O6 0.4738 0.4787 0.1520
O7 0.4907 0.2586 0.5188
O8 0.6418 0.4004 0.2149
O9 0.6546 0.7084 0.7494
O10 0.7178 0.0866 0.9868
O11 0.8879 0.7054 0.8669
O12 0.9856 0.7719 0.5263

Run C
SiO4 | GGA-PBE | optimized geometry

The calculation puts the density of states at the Fermi level at 0.509 states/eV per cell. The total magnetization is 0.67 μB/f.u. As for the calculated volume: 16.5 Å³/atom.

Cell lengths 5.0930, 5.1656, 10.9176 Å; angles 81.38, 88.21, 60.78 degrees
Fractional positions:
Si1 0.0000 0.0000 0.0000
Si2 0.1217 0.1802 0.7253
Si3 0.7731 0.8850 0.6283
O1 0.0283 0.9692 0.6627
O2 0.0964 0.1340 0.8754
O3 0.1139 0.1036 0.2182
O4 0.2422 0.9910 0.1202
O5 0.4447 0.3657 0.3147
O6 0.4683 0.0901 0.6971
O7 0.4855 0.3129 0.4278
O8 0.5140 0.5368 0.9627
O9 0.6830 0.3220 0.0504
O10 0.7070 0.9385 0.4761
O11 0.8965 0.5294 0.6711
O12 0.9318 0.7356 0.0196

Run D
SiO4 | GGA-PBE | optimized geometry

The calculation puts the density of states at the Fermi level at 4.804 states/eV per cell. The total magnetization is 0.42 μB/f.u. As for the calculated volume: 15.7 Å³/atom.

Cell lengths 4.8260, 5.0023, 10.8963 Å; angles 88.51, 83.37, 64.53 degrees
Fractional positions:
Si1 0.0000 0.0000 0.0000
Si2 0.0177 0.4035 0.1073
Si3 0.7908 0.6294 0.4376
O1 0.1027 0.3383 0.2696
O2 0.1101 0.5968 0.3312
O3 0.1718 0.8232 0.8539
O4 0.2803 0.1030 0.0332
O5 0.2838 0.3275 0.5882
O6 0.3295 0.2739 0.6951
O7 0.4684 0.9019 0.4356
O8 0.7361 0.3201 0.0819
O9 0.8266 0.3303 0.3439
O10 0.8461 0.0325 0.8633
O11 0.8837 0.5508 0.5779
O12 0.9917 0.7267 0.0847

Which structure is most stable? run C, by 0.092 eV/atom over the runner-up.

Run A
Si3O | GGA-PBE | optimized geometry

The calculation puts the density of states at the Fermi level at 1.040 states/eV per cell. The total magnetization is 0.00 μB/f.u. As for the calculated volume: 19.5 Å³/atom.

Cell lengths 9.1391, 9.1391, 8.4252 Å; angles 98.14, 98.14, 26.68 degrees
Fractional positions:
Si1 0.0347 0.0662 0.1785
Si2 0.0662 0.0347 0.6785
Si3 0.2380 0.3665 0.5158
Si4 0.3661 0.3865 0.2880
Si5 0.3665 0.2380 0.0158
Si6 0.3865 0.3661 0.7880
Si7 0.6135 0.6339 0.2120
Si8 0.6335 0.7620 0.9842
Si9 0.6339 0.6135 0.7120
Si10 0.7620 0.6335 0.4842
Si11 0.9338 0.9653 0.3215
Si12 0.9653 0.9338 0.8215
O1 0.0000 0.0000 0.0000
O2 0.0000 0.0000 0.5000
O3 0.0000 0.5000 0.0000
O4 0.5000 0.0000 0.5000

Run B
Si3O | GGA-PBE | optimized geometry

The calculation puts the density of states at the Fermi level at 0.408 states/eV per cell. The total magnetization is 0.00 μB/f.u. As for the calculated volume: 19.3 Å³/atom.

Cell lengths 9.5027, 9.5027, 8.3126 Å; angles 107.30, 107.30, 25.64 degrees
Fractional positions:
Si1 0.0229 0.0776 0.1219
Si2 0.0776 0.0229 0.6219
Si3 0.2364 0.3674 0.5372
Si4 0.3574 0.3956 0.3380
Si5 0.3674 0.2364 0.0372
Si6 0.3956 0.3574 0.8380
Si7 0.6044 0.6426 0.1620
Si8 0.6326 0.7636 0.9628
Si9 0.6426 0.6044 0.6620
Si10 0.7636 0.6326 0.4628
Si11 0.9224 0.9771 0.3781
Si12 0.9771 0.9224 0.8781
O1 0.0000 0.5000 0.0000
O2 0.1069 0.8931 0.7500
O3 0.5000 0.0000 0.5000
O4 0.8931 0.1069 0.2500

Which structure is most stable? run B, by 0.011 eV/atom over the runner-up.